# TcMoPb2 PBE relaxed
data_TcMoPb2
_cell_length_a 6.794
_cell_length_b 6.794
_cell_length_c 6.794
_cell_angle_alpha 90.00
_cell_angle_beta 90.00
_cell_angle_gamma 90.00
_symmetry_space_group_name_H-M 'F m -3 m'
_symmetry_Int_Tables_number 225
_symmetry_space_group_name_Hall '-F 4 2 3'
loop_
_atom_site_label
_atom_site_type_symbol
_atom_site_fract_x
_atom_site_fract_y
_atom_site_fract_z
Tc1 Tc 0.000 0.000 0.000
Mo1 Mo 0.000 0.000 0.500
Pb1 Pb 0.250 0.250 0.250
# Relative energy among the computed polymorphs   0.557 eV per atom
# Calculated density   12883 kg/m³



# TcMoPb2 PBE relaxed
data_TcMoPb2
_cell_length_a 10.281
_cell_length_b 3.300
_cell_length_c 6.436
_cell_angle_alpha 90.00
_cell_angle_beta 124.25
_cell_angle_gamma 90.00
_symmetry_space_group_name_H-M 'C 1 m 1'
_symmetry_Int_Tables_number 8
loop_
_symmetry_equiv_pos_as_xyz
'x,y,z'
'x,-y,z'
'x+1/2,y+1/2,z'
'x+1/2,-y+1/2,z'
loop_
_atom_site_label
_atom_site_type_symbol
_atom_site_fract_x
_atom_site_fract_y
_atom_site_fract_z
Tc1 Tc 0.000 0.000 0.000
Mo1 Mo 0.397 0.000 0.673
Pb1 Pb 0.118 0.500 0.526
Pb2 Pb 0.274 0.500 0.137
# Relative energy among the computed polymorphs   0.288 eV per atom
# Calculated density   11194 kg/m³



# TcMoPb2 PBE relaxed
data_TcMoPb2
_cell_length_a 3.2438
_cell_length_b 3.2438
_cell_length_c 26.2446
_cell_angle_alpha 90.00
_cell_angle_beta 90.00
_cell_angle_gamma 120.00
_symmetry_space_group_name_H-M 'R -3 m'
_symmetry_Int_Tables_number 166
_symmetry_space_group_name_Hall '-R 3 2"'
loop_
_atom_site_label
_atom_site_type_symbol
_atom_site_fract_x
_atom_site_fract_y
_atom_site_fract_z
Tc1 Tc 0.0000 0.0000 0.0000
Mo1 Mo 0.0000 0.0000 0.5000
Pb1 Pb 0.0000 0.0000 0.2519
# Relative energy among the computed polymorphs   0.588 eV per atom
# Calculated density   12672 kg/m³



# TcMoPb2 PBE relaxed
data_TcMoPb2
_cell_length_a 4.428
_cell_length_b 3.576
_cell_length_c 10.618
_cell_angle_alpha 90.00
_cell_angle_beta 90.00
_cell_angle_gamma 90.00
_symmetry_space_group_name_H-M 'A m m 2'
_symmetry_Int_Tables_number 38
loop_
_symmetry_equiv_pos_as_xyz
'x,y,z'
'-x,-y,z'
'-x,y,z'
'x,-y,z'
'x,y+1/2,z+1/2'
'-x,-y+1/2,z+1/2'
'-x,y+1/2,z+1/2'
'x,-y+1/2,z+1/2'
loop_
_atom_site_label
_atom_site_type_symbol
_atom_site_fract_x
_atom_site_fract_y
_atom_site_fract_z
Tc1 Tc 0.000 0.000 0.000
Mo1 Mo 0.500 0.000 0.119
Pb1 Pb 0.000 0.000 0.718
Pb2 Pb 0.500 0.000 0.400
# Relative energy among the computed polymorphs   0.288 eV per atom
# Calculated density   12019 kg/m³